The following is a PBE calculation of SrCaPt after structural relaxation, from Alexandria.

The space group is F-43m (No. 216) and the conventional cell measures 7.165, 7.165 and 7.165 Å, with angles of 90.00, 90.00 and 90.00 degrees. The asymmetric unit holds Sr at (0.000, 0.000, 0.000), Ca at (0.250, 0.250, 0.250) and Pt at (0.250, 0.250, 0.750).

As for the energy above the most stable polymorph in this dataset: 784.6 meV/atom. The crystal system is cubic. The calculation puts the theoretical density at 5.829 g cm⁻³. Its magnetic moment is 0.000 μB per atom. For the formation energy, the calculation gives 0.0356 eV/atom. The value obtained for the total energy is -3.21 eV per atom.